Compound: Th3PaPd12
Source: the Alexandria database
Functional: GGA-PBE
Structure: relaxed

Results
D(E_F) (states/eV per atom): 0.562
Total energy (eV per atom): -6.72
DFT formation energy (meV/atom): -840.6
Symmetry: P4/mmm, No. 123

```
Th3PaPd12
1.0
-0.4785 -3.1515 -2.7607
3.6107 1.0993 -1.8807
8.4692 -10.2706 10.2564
Th Pa Pd
3 1 12
Cartesian
2.1022 -2.5494 2.5458
4.2346 -5.1353 5.1282
6.3669 -7.7212 7.7105
0.0000 0.0000 0.0000
1.5661 -1.0261 -2.3207
3.6826 -3.5928 0.2425
5.8007 -6.1614 2.8075
7.9187 -8.7299 5.3725
0.8100 -2.8482 -0.1097
2.9345 -5.4246 2.4632
5.0561 -7.9974 5.0325
7.1807 -10.5738 7.6053
2.8546 -0.7228 0.3303
4.9791 -3.2992 2.9032
7.1007 -5.8721 5.4725
9.2252 -8.4485 8.0454
```

***

Compound: TeRh2
Source: the Alexandria database
Functional: GGA-PBE
Structure: relaxed

Results
D(E_F) (states/eV per atom): 0.408
Total energy (eV per atom): -6.12
Symmetry: P-62m, No. 189

```
TeRh2
1.0
6.8862 0.0000 0.0000
-3.4431 5.9636 0.0000
0.0000 0.0000 3.7360
Rh Te
6 3
Cartesian
1.8468 0.0000 0.0000
-0.9234 1.5994 0.0000
2.5197 4.3642 0.0000
4.2227 0.0000 1.8680
-2.1113 3.6569 1.8680
1.3318 2.3067 1.8680
0.0000 3.9758 0.0000
3.4431 1.9879 0.0000
0.0000 0.0000 1.8680
```

***

Compound: Ac12AlPb6
Source: the Alexandria database
Functional: GGA-PBE
Structure: relaxed

Results
D(E_F) (states/eV per atom): 1.026
Total energy (eV per atom): -4.19
DFT formation energy (meV/atom): -223.7
Symmetry: R-3, No. 148

```
Ac12AlPb6
1.0
9.6421 -0.1118 -0.1339
-1.5723 9.5137 -0.1339
-1.5723 -1.8318 9.3366
Ac Al Pb
12 1 6
Cartesian
6.1988 4.6266 3.9547
2.0891 6.5917 5.2589
3.6334 2.6708 7.4254
0.2987 2.9434 5.1140
4.4084 0.9783 3.8098
2.8641 4.8992 1.6433
-1.4467 8.5825 2.8981
-2.2051 4.6955 8.6777
4.9756 8.8003 0.1065
7.9442 -1.0124 6.1706
8.7026 2.8745 0.3911
1.5219 -1.2302 8.9622
0.0000 0.0000 0.0000
4.6727 7.5766 3.2444
5.3888 2.6727 1.0343
-0.2831 5.4084 2.8145
1.8248 -0.0065 5.8243
1.1086 4.8974 8.0344
6.7806 2.1616 6.2542
```